No. 1
Computed, not measured: crystalline RbScHgTe2 at its relaxed geometry at the GGA-PBE level of DFT.

Results
Crystal system: tetragonal
Uncorrected formation energy in eV per atom: -0.751
Raw total energy in eV per atom: -3.528
Symmetry: P4/mmm (123)

Cell lengths 5.674, 5.674, 5.778 Å; angles 90.00, 90.00, 90.00 degrees
Fractional positions:
Rb (0.000, 0.000, 0.000)
Sc (0.500, 0.500, 0.500)
Hg (0.500, 0.500, 0.000)
Te (0.000, 0.500, 0.500)
Te (0.500, 0.000, 0.500)

No. 2
Computed, not measured: crystalline K4Er3US8 at its relaxed geometry at the GGA-PBE level of DFT.

Results
Crystal system: trigonal
Uncorrected formation energy in eV per atom: -1.744
Raw total energy in eV per atom: -5.643
Symmetry: R-3m (166)

Cell lengths 8.722, 8.722, 8.722 Å; angles 55.10, 55.10, 55.10 degrees
Fractional positions:
K (0.000, 0.000, 0.000)
K (0.000, 0.500, 0.500)
K (0.500, 0.000, 0.500)
K (0.500, 0.500, 0.000)
Er (0.000, 0.000, 0.500)
Er (0.000, 0.500, 0.000)
Er (0.500, 0.000, 0.000)
U (0.500, 0.500, 0.500)
S (0.231, 0.735, 0.735)
S (0.233, 0.233, 0.233)
S (0.265, 0.265, 0.769)
S (0.265, 0.769, 0.265)
S (0.735, 0.231, 0.735)
S (0.735, 0.735, 0.231)
S (0.767, 0.767, 0.767)
S (0.769, 0.265, 0.265)